# 1
# InGaS2Cl

Crystalline InGaS2Cl at its relaxed geometry (PBE, the Alexandria database).

Cell: 5.0718 5.0718 5.3543 Å, 90.00 90.00 90.00°
With the nearest neighbours (Å) after each atom.
Space group P4/mmm (No. 123)
Inequivalent atoms, fractional coordinates:
In (0.0000, 0.0000, 0.0000) [1 per cell]  4 S 2.54, 2 Cl 2.68
Ga (0.5000, 0.5000, 0.5000) [1 per cell]  4 Cl 3.59, 8 S 3.69
S (0.0000, 0.5000, 0.0000) [2 per cell]  2 In 2.54
Cl (0.0000, 0.0000, 0.5000) [1 per cell]  2 In 2.68

Summary:
The formation energy (no corrections) is -106.3 meV/atom. The calculation puts the density at 3.43 g/cm3. Its energy above the lowest structure with this stoichiometry is 137 meV per atom.

---

# 2
# TbNdPBr

Crystalline TbNdPBr at its relaxed geometry (PBE, the Alexandria database).

Cell: 4.0537 4.0537 22.0211 Å, 90.00 90.00 120.00°
With the nearest neighbours (Å) after each atom.
Space group R3m (No. 160, hexagonal axes)
Inequivalent atoms, fractional coordinates:
Tb (0.0000, 0.0000, 0.0000) [3 per cell]  3 P 2.71
Nd (0.0000, 0.0000, 0.1982) [3 per cell]  3 P 2.84
P (0.0000, 0.0000, 0.6043) [3 per cell]  3 Tb 2.71, 3 Nd 2.84
Br (0.0000, 0.0000, 0.4286) [3 per cell]  3 Tb 3.14, 3 Nd 3.26

Summary:
The formation energy (no corrections) is -1477.0 meV/atom. The calculation puts the density at 6.58 g/cm3.

---

# 3
# RbTi2I8

Crystalline RbTi2I8 at its relaxed geometry (PBE, the Alexandria database).

Cell: 8.6673 8.6673 9.5121 Å, 90.00 90.00 120.00°
With the nearest neighbours (Å) after each atom.
Space group P-3 (No. 147)
Inequivalent atoms, fractional coordinates:
Rb (0.0000, 0.0000, 0.0000) [1 per cell]  6 I 3.83
Ti (0.3333, 0.6667, 0.7968) [2 per cell]  4 I 2.58-2.60
I (0.1697, 0.3417, 0.7012) [6 per cell]  1 Ti 2.60
I (0.3333, 0.6667, 0.0683) [2 per cell]  1 Ti 2.58

Summary:
The formation energy (no corrections) is -854.3 meV/atom. The calculation puts the density at 3.21 g/cm3. Its energy above the lowest structure with this stoichiometry is 0 meV per atom.

---

# 4
# Ta2CoAs

Crystalline Ta2CoAs at its relaxed geometry (PBE, the Alexandria database).

Cell: 2.9089 2.9089 26.0212 Å, 90.00 90.00 120.00°
With the nearest neighbours (Å) after each atom.
Space group R-3m (No. 166, hexagonal axes)
Inequivalent atoms, fractional coordinates:
Ta (0.0000, 0.0000, 0.2461) [6 per cell]  3 Co 2.66, 3 As 2.82, 6 Ta 2.91
Co (0.0000, 0.0000, 0.5000) [3 per cell]  6 Ta 2.66, 6 Co 2.91
As (0.0000, 0.0000, 0.0000) [3 per cell]  6 Ta 2.82, 6 As 2.91

Summary:
Its formation energy from the elements is 168 meV per atom. The calculation puts the density at 12.95 g/cm3.

---

# 5
# LuCoNiGe

Crystalline LuCoNiGe at its relaxed geometry (PBE, the Alexandria database).

Cell: 6.1397 6.1397 6.1397 Å, 90.00 90.00 90.00°
With the nearest neighbours (Å) after each atom.
Space group F-43m (No. 216)
Inequivalent atoms, fractional coordinates:
Lu (0.0000, 0.0000, 0.0000) [4 per cell]  4 Co 2.66, 4 Ni 2.66
Co (0.2500, 0.2500, 0.2500) [4 per cell]  4 Ge 2.66, 4 Lu 2.66
Ni (0.2500, 0.2500, 0.7500) [4 per cell]  4 Ge 2.66, 4 Lu 2.66
Ge (0.0000, 0.0000, 0.5000) [4 per cell]  4 Co 2.66, 4 Ni 2.66

Summary:
Its formation energy from the elements is -380 meV per atom. The calculation puts the density at 10.48 g/cm3.

---

# 6
# NiAg3

Crystalline NiAg3 at its relaxed geometry (PBE, the Alexandria database).

Cell: 2.9955 4.6606 9.3128 Å, 90.00 90.00 90.00°
With the nearest neighbours (Å) after each atom.
Space group Immm (No. 71)
Inequivalent atoms, fractional coordinates:
Ni (0.0000, 0.0000, 0.0000) [2 per cell]  8 Ag 2.64-2.77
Ag (0.0000, 0.0000, 0.5000) [2 per cell]  4 Ni 2.77, 6 Ag 2.89-3.00
Ag (0.0000, 0.5000, 0.2659) [4 per cell]  2 Ni 2.64, 6 Ag 2.79-2.89

Summary:
Its formation energy from the elements is 210 meV per atom. The calculation puts the density at 9.77 g/cm3.

---

# 7
# NpPaCo2P2

Crystalline NpPaCo2P2 at its relaxed geometry (PBE, the Alexandria database).

Cell: 3.8758 3.8758 7.6108 Å, 90.00 90.00 120.00°
With the nearest neighbours (Å) after each atom.
Space group P-3m1 (No. 164)
Inequivalent atoms, fractional coordinates:
Np (0.0000, 0.0000, 0.0000) [1 per cell]  6 P 2.87, 6 Co 3.06
Pa (0.0000, 0.0000, 0.5000) [1 per cell]  6 Co 2.82, 6 P 3.01
Co (0.3333, 0.6667, 0.2745) [2 per cell]  3 P 2.26
P (0.3333, 0.6667, 0.7647) [2 per cell]  3 Co 2.26

Summary:
Its formation energy from the elements is -909 meV per atom. The calculation puts the density at 10.87 g/cm3.

---

# 8
# Ba5NaGa

Crystalline Ba5NaGa at its relaxed geometry (PBE, the Alexandria database).

Cell: 5.8105 5.8105 10.7519 Å, 90.00 90.00 90.00°
With the nearest neighbours (Å) after each atom.
Space group P4/mmm (No. 123)
Inequivalent atoms, fractional coordinates:
Ba (0.0000, 0.0000, 0.0000) [1 per cell]  4 Na 4.11, 8 Ba 4.52
Ba (0.0000, 0.5000, 0.3216) [4 per cell]  2 Ga 3.48, 1 Ba 3.84
Na (0.5000, 0.5000, 0.0000) [1 per cell]  12 Ba 4.11-4.52
Ga (0.0000, 0.0000, 0.5000) [1 per cell]  8 Ba 3.48

Summary:
Its formation energy from the elements is -71 meV per atom. The calculation puts the density at 3.57 g/cm3.

---

# 9
# Ce6Ru5

Crystalline Ce6Ru5 at its relaxed geometry (PBE, the Alexandria database).

Cell: 6.7052 11.3961 7.0155 Å, 90.00 105.21 90.00°
With the nearest neighbours (Å) after each atom.
Space group C2/m (No. 12)
Inequivalent atoms, fractional coordinates:
Ce (0.2320, 0.0000, 0.2117) [4 per cell]  5 Ru 2.75-2.86
Ce (0.2360, 0.1722, 0.7266) [8 per cell]  5 Ru 2.72-2.98
Ru (0.0000, 0.0000, 0.5000) [2 per cell]  6 Ce 2.75-2.86
Ru (0.0000, 0.1799, 0.0000) [4 per cell]  6 Ce 2.76-2.81
Ru (0.0000, 0.3714, 0.5000) [4 per cell]  6 Ce 2.72-2.98, 1 Ru 2.93

Summary:
Its formation energy from the elements is -272 meV per atom. The calculation puts the density at 8.64 g/cm3.

---

# 10
# CeU4O10

Crystalline CeU4O10 at its relaxed geometry (PBE, the Alexandria database).

Cell: 3.8437 3.8437 46.9965 Å, 90.00 90.00 120.00°
With the nearest neighbours (Å) after each atom.
Space group R-3m (No. 166, hexagonal axes)
Inequivalent atoms, fractional coordinates:
Ce (0.0000, 0.0000, 0.0000) [3 per cell]  8 O 2.39-2.47
U (0.0000, 0.0000, 0.1999) [6 per cell]  8 O 2.31-2.35
U (0.0000, 0.0000, 0.4002) [6 per cell]  8 O 2.25-2.36
O (0.0000, 0.0000, 0.0527) [6 per cell]  3 U 2.32, 1 Ce 2.47
O (0.0000, 0.0000, 0.1501) [6 per cell]  4 U 2.34-2.35
O (0.0000, 0.0000, 0.2491) [6 per cell]  4 U 2.31-2.36
O (0.0000, 0.0000, 0.3524) [6 per cell]  1 U 2.25, 3 Ce 2.39
O (0.0000, 0.0000, 0.4504) [6 per cell]  4 U 2.35-2.36

Summary:
The formation energy (no corrections) is -3349.2 meV/atom. The calculation puts the density at 10.37 g/cm3.

---

# 11
# ZrIn2Se

Crystalline ZrIn2Se at its relaxed geometry (PBE, the Alexandria database).

Cell: 11.4609 3.4251 5.3423 Å, 90.00 113.10 90.00°
With the nearest neighbours (Å) after each atom.
Space group Cm (No. 8)
Inequivalent atoms, fractional coordinates:
Zr (0.0000, 0.0000, 0.0000) [2 per cell]  2 Se 2.67
In (0.0338, 0.5000, 0.5110) [2 per cell]  1 Se 3.04, 4 Zr 3.12-3.27, 1 In 3.32
In (0.2553, 0.5000, 0.1386) [2 per cell]  3 Zr 3.17-3.22, 4 Se 3.17-3.32, 5 In 3.32-3.48
Se (0.3192, 0.0000, 0.7093) [2 per cell]  2 Zr 2.67

Summary:
The formation energy (no corrections) is -374.1 meV/atom. The calculation puts the density at 6.88 g/cm3.

---

# 12
# Tb5CdIn2Ir2

Crystalline Tb5CdIn2Ir2 at its relaxed geometry (PBE, the Alexandria database).

Cell: 11.9044 11.9044 3.7060 Å, 90.00 90.00 90.00°
With the nearest neighbours (Å) after each atom.
Space group P4/mbm (No. 127)
Inequivalent atoms, fractional coordinates:
Tb (0.0000, 0.5000, 0.0000) [2 per cell]  4 Ir 2.89
Tb (0.0750, 0.2070, 0.0000) [8 per cell]  2 Ir 2.75
Cd (0.0000, 0.0000, 0.5000) [2 per cell]  8 Tb 3.21
In (0.1759, 0.6759, 0.5000) [4 per cell]  1 Ir 3.24, 6 Tb 3.49-3.52
Ir (0.1319, 0.3681, 0.5000) [4 per cell]  6 Tb 2.75-2.89

Summary:
Its formation energy from the elements is -529 meV per atom. The calculation puts the density at 9.62 g/cm3.

---

Number 1: DOS at the Fermi energy 0.86 states/eV/atom. Number 2: DOS at the Fermi energy 0.19 states/eV/atom. Number 3: DOS at the Fermi energy 0.80 states/eV/atom. Number 4: DOS at the Fermi energy 0.88 states/eV/atom. Number 5: DOS at the Fermi energy 0.99 states/eV/atom. Number 6: DOS at the Fermi energy 0.53 states/eV/atom. Number 7: DOS at the Fermi energy 1.88 states/eV/atom. Number 8: DOS at the Fermi energy 1.01 states/eV/atom. Number 9: DOS at the Fermi energy 1.13 states/eV/atom. Number 10: DOS at the Fermi energy 1.63 states/eV/atom. Number 11: DOS at the Fermi energy 0.67 states/eV/atom. Number 12: DOS at the Fermi energy 0.84 states/eV/atom.